## Cd2Ag (GGA-PBEsol)

Data for a relaxed structure of Cd2Ag.

The density comes out at 9714 kg/m³. For the relative energy among the computed polymorphs, the calculation gives 85 meV/atom. The calculation puts the final energy at -1.885 eV/atom. For the magnetic moment, the calculation gives 0.0000 μB per atom. The calculation puts the density of states at the Fermi level at 0.256 states/eV/atom.

a b c (Å): 4.788 4.788 2.864
angles (deg): 90.00 90.00 120.00
Positions (direct):
Cd (0.333, 0.667, 0.000)
Cd (0.667, 0.333, 0.000)
Ag (0.000, 0.000, 0.500)

=====

## CdAg (GGA-PBEsol)

Data for a relaxed structure of CdAg.

The density comes out at 8507 kg/m³. The calculation puts the final energy at -2.130 eV/atom. For the magnetic moment, the calculation gives 0.0000 μB per atom. The calculation puts the density of states at the Fermi level at 0.341 states/eV/atom.

a b c (Å): 4.256 4.256 5.482
angles (deg): 90.00 90.00 120.00
Positions (direct):
Cd (0.333, 0.667, 0.250)
Cd (0.667, 0.333, 0.750)
Ag (0.000, 0.000, 0.000)
Ag (0.000, 0.000, 0.500)

=====

## Cd5Ag4 (GGA-PBEsol)

Data for a relaxed structure of Cd5Ag4.

The density comes out at 9936 kg/m³. For the relative energy among the computed polymorphs, the calculation gives 8 meV/atom. The calculation puts the final energy at -2.177 eV/atom. For the magnetic moment, the calculation gives 0.0000 μB per atom. The calculation puts the density of states at the Fermi level at 0.213 states/eV/atom.

a b c (Å): 8.168 8.168 5.747
angles (deg): 90.00 90.00 120.00
Positions (direct):
Cd (0.000, 0.301, 0.250)
Cd (0.000, 0.699, 0.750)
Cd (0.301, 0.000, 0.250)
Cd (0.301, 0.301, 0.750)
Cd (0.333, 0.667, 0.000)
Cd (0.333, 0.667, 0.500)
Cd (0.667, 0.333, 0.000)
Cd (0.667, 0.333, 0.500)
Cd (0.699, 0.000, 0.750)
Cd (0.699, 0.699, 0.250)
Ag (0.000, 0.000, 0.000)
Ag (0.000, 0.000, 0.500)
Ag (0.000, 0.364, 0.750)
Ag (0.000, 0.636, 0.250)
Ag (0.364, 0.000, 0.750)
Ag (0.364, 0.364, 0.250)
Ag (0.636, 0.000, 0.250)
Ag (0.636, 0.636, 0.750)

=====

## CdAg (GGA-PBEsol)

Data for a relaxed structure of CdAg.

The density comes out at 10041 kg/m³. The calculation puts the final energy at -2.277 eV/atom. For the magnetic moment, the calculation gives 0.0000 μB per atom. The calculation puts the density of states at the Fermi level at 0.238 states/eV/atom.

a b c (Å): 2.948 2.948 9.683
angles (deg): 90.00 90.00 120.00
Positions (direct):
Cd (0.333, 0.667, 0.364)
Cd (0.667, 0.333, 0.636)
Ag (0.333, 0.667, 0.882)
Ag (0.667, 0.333, 0.118)

=====

## CdAg3 (GGA-PBEsol)

Data for a relaxed structure of CdAg3.

The density comes out at 10464 kg/m³. The calculation puts the final energy at -2.797 eV/atom. For the magnetic moment, the calculation gives 0.0000 μB per atom. The calculation puts the density of states at the Fermi level at 0.269 states/eV/atom.

a b c (Å): 2.833 4.624 5.347
angles (deg): 90.00 98.88 90.00
Positions (direct):
Cd (0.000, 0.000, 0.000)
Ag (0.258, 0.500, 0.746)
Ag (0.500, 0.000, 0.500)
Ag (0.742, 0.500, 0.254)

=====

## CdAg3 (GGA-PBEsol)

Data for a relaxed structure of CdAg3.

The density comes out at 10512 kg/m³. The calculation puts the final energy at -2.828 eV/atom. For the magnetic moment, the calculation gives 0.0000 μB per atom. The calculation puts the density of states at the Fermi level at 0.283 states/eV/atom.

a b c (Å): 5.037 9.509 5.752
angles (deg): 90.00 90.00 90.00
Positions (direct):
Cd (0.079, 0.250, 0.118)
Cd (0.421, 0.750, 0.618)
Cd (0.579, 0.250, 0.382)
Cd (0.921, 0.750, 0.882)
Ag (0.081, 0.250, 0.624)
Ag (0.248, 0.501, 0.373)
Ag (0.248, 0.999, 0.373)
Ag (0.252, 0.001, 0.873)
Ag (0.252, 0.499, 0.873)
Ag (0.419, 0.750, 0.124)
Ag (0.581, 0.250, 0.876)
Ag (0.748, 0.501, 0.127)
Ag (0.748, 0.999, 0.127)
Ag (0.752, 0.001, 0.627)
Ag (0.752, 0.499, 0.627)
Ag (0.919, 0.750, 0.376)

=====

## CdAg7 (GGA-PBEsol)

Data for a relaxed structure of CdAg7.

The density comes out at 10678 kg/m³. The calculation puts the final energy at -3.072 eV/atom. For the magnetic moment, the calculation gives 0.0000 μB per atom. The calculation puts the density of states at the Fermi level at 0.390 states/eV/atom.

a b c (Å): 5.757 5.757 5.757
angles (deg): 60.00 60.00 60.00
Positions (direct):
Cd (0.000, 0.000, 0.000)
Ag (0.000, 0.000, 0.500)
Ag (0.000, 0.500, 0.000)
Ag (0.000, 0.500, 0.500)
Ag (0.500, 0.000, 0.000)
Ag (0.500, 0.000, 0.500)
Ag (0.500, 0.500, 0.000)
Ag (0.500, 0.500, 0.500)

=====

## CdAg3 (GGA-PBEsol)

Data for a relaxed structure of CdAg3.

The density comes out at 10503 kg/m³. The calculation puts the final energy at -2.829 eV/atom. For the magnetic moment, the calculation gives 0.0000 μB per atom. The calculation puts the density of states at the Fermi level at 0.253 states/eV/atom.

a b c (Å): 5.016 5.016 4.965
angles (deg): 100.78 100.78 34.24
Positions (direct):
Cd (0.000, 0.000, 0.000)
Ag (0.249, 0.249, 0.747)
Ag (0.500, 0.500, 0.500)
Ag (0.751, 0.751, 0.253)

=====

## CdAg (GGA-PBEsol)

Data for a relaxed structure of CdAg.

The density comes out at 10043 kg/m³. The calculation puts the final energy at -2.290 eV/atom. For the magnetic moment, the calculation gives 0.0000 μB per atom. The calculation puts the density of states at the Fermi level at 0.258 states/eV/atom.

a b c (Å): 3.100 3.100 7.579
angles (deg): 90.00 90.00 90.00
Positions (direct):
Cd (0.250, 0.250, 0.138)
Cd (0.750, 0.750, 0.862)
Ag (0.250, 0.250, 0.617)
Ag (0.750, 0.750, 0.383)

=====

## CdAg2 (GGA-PBEsol)

Data for a relaxed structure of CdAg2.

The density comes out at 9650 kg/m³. For the relative energy among the computed polymorphs, the calculation gives 0 meV/atom. The calculation puts the final energy at -2.671 eV/atom. For the magnetic moment, the calculation gives 0.0000 μB per atom. The calculation puts the density of states at the Fermi level at 0.279 states/eV/atom.

a b c (Å): 5.890 4.351 8.813
angles (deg): 90.00 90.00 90.00
Positions (direct):
Cd (0.140, 0.250, 0.087)
Cd (0.360, 0.750, 0.587)
Cd (0.640, 0.250, 0.413)
Cd (0.860, 0.750, 0.913)
Ag (0.106, 0.250, 0.751)
Ag (0.134, 0.250, 0.418)
Ag (0.366, 0.750, 0.918)
Ag (0.394, 0.750, 0.251)
Ag (0.606, 0.250, 0.749)
Ag (0.634, 0.250, 0.082)
Ag (0.866, 0.750, 0.582)
Ag (0.894, 0.750, 0.249)

=====

## Cd4Ag5 (GGA-PBEsol)

Data for a relaxed structure of Cd4Ag5.

The density comes out at 10100 kg/m³. For the relative energy among the computed polymorphs, the calculation gives 28 meV/atom. The calculation puts the final energy at -2.404 eV/atom. For the magnetic moment, the calculation gives 0.0000 μB per atom. The calculation puts the density of states at the Fermi level at 0.200 states/eV/atom.

a b c (Å): 8.145 8.145 5.660
angles (deg): 90.00 90.00 120.00
Positions (direct):
Cd (0.000, 0.000, 0.000)
Cd (0.000, 0.000, 0.500)
Cd (0.000, 0.361, 0.250)
Cd (0.000, 0.639, 0.750)
Cd (0.361, 0.000, 0.250)
Cd (0.361, 0.361, 0.750)
Cd (0.639, 0.000, 0.750)
Cd (0.639, 0.639, 0.250)
Ag (0.000, 0.309, 0.750)
Ag (0.000, 0.691, 0.250)
Ag (0.309, 0.000, 0.750)
Ag (0.309, 0.309, 0.250)
Ag (0.333, 0.667, 0.000)
Ag (0.333, 0.667, 0.500)
Ag (0.667, 0.333, 0.000)
Ag (0.667, 0.333, 0.500)
Ag (0.691, 0.000, 0.250)
Ag (0.691, 0.691, 0.750)

=====

## Cd5Ag4 (GGA-PBEsol)

Data for a relaxed structure of Cd5Ag4.

The density comes out at 10039 kg/m³. For the relative energy among the computed polymorphs, the calculation gives 0 meV/atom. The calculation puts the final energy at -2.185 eV/atom. For the magnetic moment, the calculation gives 0.0000 μB per atom. The calculation puts the density of states at the Fermi level at 0.249 states/eV/atom.

a b c (Å): 6.583 6.583 6.583
angles (deg): 95.92 95.92 142.54
Positions (direct):
Cd (0.000, 0.000, 0.000)
Cd (0.331, 0.331, 0.661)
Cd (0.331, 0.669, 0.000)
Cd (0.669, 0.331, 0.000)
Cd (0.669, 0.669, 0.339)
Ag (0.000, 0.337, 0.337)
Ag (0.000, 0.663, 0.663)
Ag (0.337, 0.000, 0.337)
Ag (0.663, 0.000, 0.663)

=====

Table of E_form (meV per atom), in record order: 17 124 -40 -23 -14 -45 -25 -47 -36 -65 -33 -48